# 1
First-principles (PBE) data for a relaxed BeAg crystal, as listed in the Alexandria database.

Geometry as POSCAR:
```
BeAg
1.0
1.425 4.751 0.064
-1.425 4.751 0.064
0.000 2.082 5.826
Be Ag
3 3
Cartesian
0.000 6.929 0.906
0.000 7.447 3.538
0.000 1.230 2.389
0.000 3.902 1.884
0.000 2.577 5.561
0.000 5.097 4.448
```

Output
DFT formation energy in eV per atom: 0.19
Space group: No. 8

***

# 2
First-principles (PBE) data for a relaxed Ag3P crystal, as listed in the Alexandria database.

Geometry as POSCAR:
```
Ag3P
1.0
5.030 -0.073 0.000
1.732 4.723 0.000
-3.381 -2.325 2.911
Ag P
3 1
Cartesian
3.381 2.325 0.000
0.866 2.362 1.455
2.515 -0.037 1.455
0.000 0.000 0.000
```

Output
DFT formation energy in eV per atom: 0.22
Space group: No. 139

***

# 3
First-principles (PBE) data for a relaxed KAuO3 crystal, as listed in the Alexandria database.

Geometry as POSCAR:
```
KAuO3
1.0
4.098 0.000 0.000
0.000 4.098 0.000
0.000 0.000 4.098
K Au O
1 1 3
Cartesian
2.049 2.049 2.049
0.000 0.000 0.000
0.000 0.000 2.049
0.000 2.049 0.000
2.049 0.000 0.000
```

Output
Formation energy without anion corrections in kcal/mol of atoms: -2.83
Space group: No. 221